Entry from Alexandria via LeMat-Bulk: an optimized crystal structure of Rb2Tl2HgBr6 (GGA-PBE).

Calculated values
**ΔE_f (raw)**: -1047.2 meV/atom
**Space-group type**: C2/m
**Volume**: 40.62 A^3/atom

The structure in extended XYZ format:
```
11
Lattice="8.149 0.154 0.131 -3.894 7.160 0.131 -1.469 -2.525 7.490" Properties=species:S:1:pos:R:3 pbc="T T T"
Rb -0.564 3.533 3.876
Rb 3.350 1.256 3.876
Tl 5.867 1.482 0.131
Tl -1.612 5.832 0.131
Hg -0.735 -1.263 3.745
Br 2.439 4.193 5.560
Br -1.976 0.897 5.612
Br 0.346 0.596 2.192
Br 1.757 -1.274 5.612
Br 4.762 3.891 2.140
Br 1.029 6.063 2.140
```

Entry from Alexandria via LeMat-Bulk: an optimized crystal structure of Rb2TlHgBr4 (GGA-PBE).

Calculated values
**ΔE_f (raw)**: -1001.2 meV/atom
**Space-group type**: Fddd
**Volume**: 46.54 A^3/atom

The structure in extended XYZ format:
```
16
Lattice="5.769 0.000 0.000 2.884 8.560 0.000 2.884 0.000 15.079" Properties=species:S:1:pos:R:3 pbc="T T T"
Rb 2.884 0.000 10.329
Rb 5.769 0.000 4.749
Rb 7.211 4.280 12.289
Rb 7.211 4.280 2.790
Tl 7.211 4.280 7.539
Tl 0.000 0.000 0.000
Hg 4.326 4.280 7.539
Hg 2.884 0.000 0.000
Br 3.834 6.566 2.043
Br 3.834 1.994 13.036
Br 4.819 6.566 13.036
Br 4.819 1.994 2.043
Br 6.261 6.274 5.496
Br 6.261 2.286 9.582
Br 8.160 6.274 9.582
Br 2.392 2.286 5.496
```

Entry from Alexandria via LeMat-Bulk: an optimized crystal structure of RbTl2HgBr8 (GGA-PBE).

Calculated values
**ΔE_f (raw)**: -619.5 meV/atom
**Space-group type**: R32
**Volume**: 39.66 A^3/atom

The structure in extended XYZ format:
```
12
Lattice="7.132 0.000 0.000 3.566 6.177 0.000 3.566 2.059 10.804" Properties=species:S:1:pos:R:3 pbc="T T T"
Rb 0.000 0.000 0.000
Tl 10.698 6.177 8.205
Tl 3.566 2.059 2.599
Hg 7.132 4.118 5.402
Br 7.132 4.118 0.037
Br 7.132 4.118 10.767
Br 6.088 1.995 3.420
Br 9.493 3.961 7.384
Br 6.088 6.241 7.384
Br 5.816 6.083 3.420
Br 9.493 4.275 3.420
Br 5.816 2.152 7.384
```

Entry from Alexandria via LeMat-Bulk: an optimized crystal structure of Rb3Tl3HgBr8 (GGA-PBE).

Calculated values
**ΔE_f (raw)**: -1128.3 meV/atom
**Space-group type**: R-3m
**Volume**: 41.97 A^3/atom

The structure in extended XYZ format:
```
15
Lattice="-2.584 1.503 -9.215 1.085 -9.037 3.314 -7.326 5.385 2.933" Properties=species:S:1:pos:R:3 pbc="T T T"
Rb -4.955 3.444 -3.141
Rb -4.412 -1.074 -1.484
Rb -3.120 -1.826 3.123
Tl 0.000 0.000 0.000
Tl 0.543 -4.518 1.657
Tl -0.749 -3.767 -2.951
Hg -3.663 2.693 1.466
Br -1.883 -2.792 0.072
Br -6.942 0.644 -3.041
Br -3.463 -2.483 -4.526
Br -5.361 0.335 1.558
Br -3.002 -6.296 -3.127
Br -5.823 4.148 0.159
Br -1.509 -7.164 2.196
Br -7.316 5.016 -5.165
```

Entry from Alexandria via LeMat-Bulk: an optimized crystal structure of RbTlHgBr4 (GGA-PBE).

Calculated values
**ΔE_f (raw)**: -945.3 meV/atom
**Space-group type**: P2_1/m
**Volume**: 38.90 A^3/atom

The structure in extended XYZ format:
```
14
Lattice="-0.918 -6.972 -3.723 7.262 0.394 -2.528 3.103 -1.727 8.645" Properties=species:S:1:pos:R:3 pbc="T T T"
Rb 6.102 -5.894 -0.979
Rb 3.346 -2.412 3.372
Tl 7.674 -6.597 3.425
Tl 1.774 -1.709 -1.032
Hg 6.143 -1.929 -0.242
Hg 3.305 -6.376 2.636
Br 5.158 -8.097 1.642
Br 0.774 -0.399 1.975
Br 4.290 -0.209 0.751
Br 8.674 -7.906 0.418
Br 5.388 -2.908 -2.563
Br 4.060 -5.398 4.957
Br 6.890 -3.642 1.635
Br 2.558 -4.663 0.759
```

Entry from Alexandria via LeMat-Bulk: an optimized crystal structure of RbTlHgBr (GGA-PBE).

Calculated values
**ΔE_f (raw)**: -551.9 meV/atom
**Space-group type**: F-43m
**Volume**: 36.51 A^3/atom

The structure in extended XYZ format:
```
4
Lattice="5.911 0.000 0.000 2.956 5.119 0.000 2.956 1.706 4.827" Properties=species:S:1:pos:R:3 pbc="T T T"
Tl 0.000 0.000 0.000
Br 2.956 1.706 1.207
Hg 8.867 5.119 3.620
Rb 5.911 3.413 2.413
```

Entry from Alexandria via LeMat-Bulk: an optimized crystal structure of Rb2TlHg2Br7 (GGA-PBE).

Calculated values
**ΔE_f (raw)**: -907.5 meV/atom
**Space-group type**: C2/m
**Volume**: 37.23 A^3/atom

The structure in extended XYZ format:
```
12
Lattice="-0.597 0.185 -5.634 5.425 -1.521 -0.626 -1.357 -14.050 -3.157" Properties=species:S:1:pos:R:3 pbc="T T T"
Rb 3.506 -6.014 -6.266
Rb -0.036 -9.372 -3.151
Tl 0.000 0.000 0.000
Hg 1.824 -11.988 -6.279
Hg 1.646 -3.398 -3.137
Br 2.414 -0.668 -3.130
Br 0.916 -6.028 -3.155
Br 2.555 -9.358 -6.261
Br 1.412 -3.063 -5.954
Br 4.427 -3.918 -3.446
Br -0.957 -11.468 -5.971
Br 2.059 -12.323 -3.463
```

Entry from Alexandria via LeMat-Bulk: an optimized crystal structure of Rb2TlHgBr6 (GGA-PBE).

Calculated values
**ΔE_f (raw)**: -1005.1 meV/atom
**Space-group type**: P1
**Volume**: 37.03 A^3/atom

The structure in extended XYZ format:
```
10
Lattice="8.102 0.000 -0.002 4.051 7.018 -0.002 4.050 2.339 6.511" Properties=species:S:1:pos:R:3 pbc="T T T"
Rb 8.100 4.681 2.012
Rb 4.052 2.337 5.347
Tl 4.051 2.339 0.327
Hg 12.152 7.018 3.581
Br 6.362 1.557 1.963
Br 2.214 0.731 1.959
Br 3.572 4.736 1.955
Br 9.923 6.278 5.165
Br 8.580 2.296 5.170
Br 5.804 5.452 5.161
```